(1)
# CeHfTe2 GGA-PBE relaxed
# Distance to the lowest polymorph of the same formula in eV/f.u.: 0.000
# Raw formation energy in eV/atom: -0.797
data_CeHfTe2
_chemical_formula_sum 'Ce1 Hf1 Te2'
_cell_length_a 3.6578
_cell_length_b 3.6578
_cell_length_c 7.4787
_cell_angle_alpha 90.00
_cell_angle_beta 90.00
_cell_angle_gamma 90.00
_space_group_name_H-M_alt 'P 4/m m m'
_space_group_IT_number 123
_space_group_name_Hall '-P 4 2'
loop_
_atom_site_label
_atom_site_type_symbol
_atom_site_fract_x
_atom_site_fract_y
_atom_site_fract_z
Ce1 Ce 0.0000 0.0000 0.0000
Hf1 Hf 0.0000 0.0000 0.5000
Te1 Te 0.5000 0.5000 0.2709



(2)
# Nd3Er2Mg GGA-PBE relaxed
# Distance to the lowest polymorph of the same formula in eV/f.u.: 0.000
data_Nd3Er2Mg
_chemical_formula_sum 'Nd3 Er2 Mg1'
_cell_length_a 3.6300
_cell_length_b 3.6300
_cell_length_c 14.4851
_cell_angle_alpha 90.00
_cell_angle_beta 90.00
_cell_angle_gamma 90.00
_space_group_name_H-M_alt 'P 4/m m m'
_space_group_IT_number 123
_space_group_name_Hall '-P 4 2'
loop_
_atom_site_label
_atom_site_type_symbol
_atom_site_fract_x
_atom_site_fract_y
_atom_site_fract_z
Nd1 Nd 0.0000 0.0000 0.0000
Nd2 Nd 0.0000 0.0000 0.3452
Er1 Er 0.5000 0.5000 0.1728
Mg1 Mg 0.5000 0.5000 0.5000



(3)
# ZnPt2 GGA-PBE relaxed
# Calculated total energy in eV per atom: -4.8115
data_ZnPt2
_chemical_formula_sum 'Zn4 Pt8'
_cell_length_a 10.3298
_cell_length_b 2.7994
_cell_length_c 6.4797
_cell_angle_alpha 90.00
_cell_angle_beta 103.85
_cell_angle_gamma 90.00
_space_group_name_H-M_alt 'C 1 m 1'
_space_group_IT_number 8
loop_
_space_group_symop_operation_xyz
'x,y,z'
'x,-y,z'
'x+1/2,y+1/2,z'
'x+1/2,-y+1/2,z'
loop_
_atom_site_label
_atom_site_type_symbol
_atom_site_fract_x
_atom_site_fract_y
_atom_site_fract_z
Zn1 Zn 0.0000 0.0000 0.0000
Zn2 Zn 0.1865 0.5000 0.3605
Pt1 Pt 0.1217 0.5000 0.7427
Pt2 Pt 0.2792 0.0000 0.0818
Pt3 Pt 0.3461 0.0000 0.6791
Pt4 Pt 0.4697 0.5000 0.3885



(4)
# CrSbOs GGA-PBE relaxed
# Distance to the lowest polymorph of the same formula in eV/f.u.: 0.821
# Raw formation energy in eV/atom: 0.533
data_CrSbOs
_chemical_formula_sum 'Cr1 Sb1 Os1'
_cell_length_a 2.9582
_cell_length_b 2.9582
_cell_length_c 6.4207
_cell_angle_alpha 90.00
_cell_angle_beta 90.00
_cell_angle_gamma 120.00
_space_group_name_H-M_alt 'P 3 m 1'
_space_group_IT_number 156
loop_
_space_group_symop_operation_xyz
'x,y,z'
'-y,x-y,z'
'-x+y,-x,z'
'-y,-x,z'
'-x+y,y,z'
'x,x-y,z'
loop_
_atom_site_label
_atom_site_type_symbol
_atom_site_fract_x
_atom_site_fract_y
_atom_site_fract_z
Cr1 Cr 0.0000 0.0000 0.0000
Sb1 Sb 0.3333 0.6667 0.6571
Os1 Os 0.6667 0.3333 0.2854



(5)
# LiHgIr2 GGA-PBE relaxed
# Calculated total energy in eV per atom: -4.7141
data_LiHgIr2
_chemical_formula_sum 'Li2 Hg2 Ir4'
_cell_length_a 2.7767
_cell_length_b 4.6027
_cell_length_c 11.0520
_cell_angle_alpha 90.00
_cell_angle_beta 90.00
_cell_angle_gamma 90.00
_space_group_name_H-M_alt 'I m m 2'
_space_group_IT_number 44
loop_
_space_group_symop_operation_xyz
'x,y,z'
'-x,-y,z'
'-x,y,z'
'x,-y,z'
'x+1/2,y+1/2,z+1/2'
'-x+1/2,-y+1/2,z+1/2'
'-x+1/2,y+1/2,z+1/2'
'x+1/2,-y+1/2,z+1/2'
loop_
_atom_site_label
_atom_site_type_symbol
_atom_site_fract_x
_atom_site_fract_y
_atom_site_fract_z
Li1 Li 0.0000 0.0000 0.0000
Hg1 Hg 0.0000 0.5000 0.8031
Ir1 Ir 0.0000 0.0000 0.5300
Ir2 Ir 0.0000 0.5000 0.2194



(6)
# Ti5Zn4W GGA-PBE relaxed
# Calculated total energy in eV per atom: -5.9201
data_Ti5Zn4W
_chemical_formula_sum 'Ti5 Zn4 W1'
_cell_length_a 3.1969
_cell_length_b 3.1969
_cell_length_c 15.4235
_cell_angle_alpha 90.00
_cell_angle_beta 90.00
_cell_angle_gamma 90.00
_space_group_name_H-M_alt 'P 4/m m m'
_space_group_IT_number 123
_space_group_name_Hall '-P 4 2'
loop_
_atom_site_label
_atom_site_type_symbol
_atom_site_fract_x
_atom_site_fract_y
_atom_site_fract_z
Ti1 Ti 0.0000 0.0000 0.0000
Ti2 Ti 0.0000 0.0000 0.1994
Ti3 Ti 0.0000 0.0000 0.4031
Zn1 Zn 0.5000 0.5000 0.0992
Zn2 Zn 0.5000 0.5000 0.2994
W1 W 0.5000 0.5000 0.5000



(7)
# KRu2Rh GGA-PBE relaxed
# Distance to the lowest polymorph of the same formula in eV/f.u.: 0.778
data_KRu2Rh
_chemical_formula_sum 'K2 Ru4 Rh2'
_cell_length_a 2.8332
_cell_length_b 4.7226
_cell_length_c 10.1122
_cell_angle_alpha 90.00
_cell_angle_beta 90.00
_cell_angle_gamma 90.00
_space_group_name_H-M_alt 'C m m 2'
_space_group_IT_number 35
loop_
_space_group_symop_operation_xyz
'x,y,z'
'-x,-y,z'
'-x,y,z'
'x,-y,z'
'x+1/2,y+1/2,z'
'-x+1/2,-y+1/2,z'
'-x+1/2,y+1/2,z'
'x+1/2,-y+1/2,z'
loop_
_atom_site_label
_atom_site_type_symbol
_atom_site_fract_x
_atom_site_fract_y
_atom_site_fract_z
K1 K 0.0000 0.0000 0.0000
Ru1 Ru 0.0000 0.0000 0.4975
Ru2 Ru 0.0000 0.5000 0.7113
Rh1 Rh 0.0000 0.5000 0.2745



(8)
# Sr2TbGaSe5 GGA-PBE relaxed
# Raw formation energy in eV/atom: -1.622
data_Sr2TbGaSe5
_chemical_formula_sum 'Sr8 Tb4 Ga4 Se20'
_cell_length_a 4.1241
_cell_length_b 18.8093
_cell_length_c 12.8793
_cell_angle_alpha 90.00
_cell_angle_beta 90.00
_cell_angle_gamma 90.00
_space_group_name_H-M_alt 'C m c 21'
_space_group_IT_number 36
loop_
_space_group_symop_operation_xyz
'x,y,z'
'-x,-y,z+1/2'
'-x,y,z'
'x,-y,z+1/2'
'x+1/2,y+1/2,z'
'-x+1/2,-y+1/2,z+1/2'
'-x+1/2,y+1/2,z'
'x+1/2,-y+1/2,z+1/2'
loop_
_atom_site_label
_atom_site_type_symbol
_atom_site_fract_x
_atom_site_fract_y
_atom_site_fract_z
Sr1 Sr 0.0000 0.1185 0.0000
Sr2 Sr 0.0000 0.1235 0.6415
Tb1 Tb 0.0000 0.2073 0.3432
Ga1 Ga 0.0000 0.4414 0.7490
Se1 Se 0.0000 0.0454 0.3587
Se2 Se 0.0000 0.2940 0.9939
Se3 Se 0.0000 0.3161 0.6844
Se4 Se 0.0000 0.3550 0.3232
Se5 Se 0.0000 0.4988 0.0863



(9)
# Cs3Er2ScSe6 GGA-PBE relaxed
# Raw formation energy in eV/atom: -1.665
data_Cs3Er2ScSe6
_chemical_formula_sum 'Cs6 Er4 Sc2 Se12'
_cell_length_a 7.2442
_cell_length_b 12.5456
_cell_length_c 8.6789
_cell_angle_alpha 90.00
_cell_angle_beta 106.16
_cell_angle_gamma 90.00
_space_group_name_H-M_alt 'C 1 2/m 1'
_space_group_IT_number 12
loop_
_space_group_symop_operation_xyz
'x,y,z'
'-x,-y,-z'
'-x,y,-z'
'x,-y,z'
'x+1/2,y+1/2,z'
'-x+1/2,-y+1/2,-z'
'-x+1/2,y+1/2,-z'
'x+1/2,-y+1/2,z'
loop_
_atom_site_label
_atom_site_type_symbol
_atom_site_fract_x
_atom_site_fract_y
_atom_site_fract_z
Cs1 Cs 0.0000 0.0000 0.0000
Cs2 Cs 0.0000 0.3311 0.0000
Er1 Er 0.0000 0.1665 0.5000
Sc1 Sc 0.0000 0.5000 0.5000
Se1 Se 0.2223 0.3381 0.6813
Se2 Se 0.2369 0.0000 0.6823



(10)
# Er8Al2Pd GGA-PBE relaxed
# Calculated total energy in eV per atom: -4.7550
data_Er8Al2Pd
_chemical_formula_sum 'Er16 Al4 Pd2'
_cell_length_a 18.2815
_cell_length_b 4.9767
_cell_length_c 6.5724
_cell_angle_alpha 90.00
_cell_angle_beta 101.86
_cell_angle_gamma 90.00
_space_group_name_H-M_alt 'C 1 2/m 1'
_space_group_IT_number 12
loop_
_space_group_symop_operation_xyz
'x,y,z'
'-x,-y,-z'
'-x,y,-z'
'x,-y,z'
'x+1/2,y+1/2,z'
'-x+1/2,-y+1/2,-z'
'-x+1/2,y+1/2,-z'
'x+1/2,-y+1/2,z'
loop_
_atom_site_label
_atom_site_type_symbol
_atom_site_fract_x
_atom_site_fract_y
_atom_site_fract_z
Er1 Er 0.0220 0.0000 0.2721
Er2 Er 0.0933 0.5000 0.9626
Er3 Er 0.1511 0.5000 0.4778
Er4 Er 0.2105 0.0000 0.8082
Al1 Al 0.1891 0.0000 0.2563
Pd1 Pd 0.0000 0.5000 0.5000



(11)
# RbPIr2 GGA-PBE relaxed
# Calculated total energy in eV per atom: -6.2709
data_RbPIr2
_chemical_formula_sum 'Rb4 P4 Ir8'
_cell_length_a 5.1428
_cell_length_b 15.3028
_cell_length_c 5.4673
_cell_angle_alpha 90.00
_cell_angle_beta 103.57
_cell_angle_gamma 90.00
_space_group_name_H-M_alt 'C 1 c 1'
_space_group_IT_number 9
loop_
_space_group_symop_operation_xyz
'x,y,z'
'x,-y,z+1/2'
'x+1/2,y+1/2,z'
'x+1/2,-y+1/2,z+1/2'
loop_
_atom_site_label
_atom_site_type_symbol
_atom_site_fract_x
_atom_site_fract_y
_atom_site_fract_z
Rb1 Rb 0.0000 0.1940 0.0000
P1 P 0.3932 0.0852 0.6722
Ir1 Ir 0.1147 0.0087 0.3390
Ir2 Ir 0.1685 0.4992 0.4846



(12)
# AsHAuSe2 GGA-PBE relaxed
# Distance to the lowest polymorph of the same formula in eV/f.u.: 2.492
data_AsHAuSe2
_chemical_formula_sum 'As1 H1 Au1 Se2'
_cell_length_a 5.2338
_cell_length_b 5.2338
_cell_length_c 4.9570
_cell_angle_alpha 90.00
_cell_angle_beta 90.00
_cell_angle_gamma 90.00
_space_group_name_H-M_alt 'P 4/m m m'
_space_group_IT_number 123
_space_group_name_Hall '-P 4 2'
loop_
_atom_site_label
_atom_site_type_symbol
_atom_site_fract_x
_atom_site_fract_y
_atom_site_fract_z
As1 As 0.0000 0.0000 0.0000
H1 H 0.5000 0.5000 0.0000
Au1 Au 0.0000 0.0000 0.5000
Se1 Se 0.0000 0.5000 0.5000